Compound: LiLaSmIn
Source: the Alexandria database
Functional: PBE
Structure: optimized geometry

Cell and atoms, written as CIF:
```
data_LiLaSmIn
_cell_length_a 7.5994
_cell_length_b 7.5994
_cell_length_c 7.5994
_cell_angle_alpha 90.00
_cell_angle_beta 90.00
_cell_angle_gamma 90.00
_space_group_name_H-M_alt 'F -4 3 m'
_space_group_IT_number 216
_space_group_name_Hall 'F -4 2 3'
loop_
_atom_site_label
_atom_site_fract_x
_atom_site_fract_y
_atom_site_fract_z
Li1 0.0000 0.0000 0.0000
La1 0.2500 0.2500 0.7500
Sm1 0.0000 0.0000 0.5000
In1 0.2500 0.2500 0.2500
```

Offset from the most stable computed form (kJ/mol of formula units): 84.0
DOS at the Fermi energy (states/eV/cell): 21.686
M_tot (μB/f.u.): 1.640
Calculated formation energy (meV/atom): -46

***

Compound: LiLaSmIn
Source: the Alexandria database
Functional: PBE
Structure: optimized geometry

Cell and atoms, written as CIF:
```
data_LiLaSmIn
_cell_length_a 5.4609
_cell_length_b 5.4609
_cell_length_c 7.7496
_cell_angle_alpha 90.00
_cell_angle_beta 90.00
_cell_angle_gamma 90.00
_space_group_name_H-M_alt 'I -4 m 2'
_space_group_IT_number 119
_space_group_name_Hall 'I -4 -2'
loop_
_atom_site_label
_atom_site_fract_x
_atom_site_fract_y
_atom_site_fract_z
Li1 0.0000 0.0000 0.0000
La1 0.0000 0.5000 0.7500
Sm1 0.0000 0.5000 0.2500
In1 0.0000 0.0000 0.5000
```

Offset from the most stable computed form (kJ/mol of formula units): 0.0
DOS at the Fermi energy (states/eV/cell): 9.544
M_tot (μB/f.u.): 0.001
Calculated formation energy (meV/atom): -264

***

Compound: Li2La2SmIn5
Source: the Alexandria database
Functional: PBE
Structure: optimized geometry

Cell and atoms, written as CIF:
```
data_Li2La2SmIn5
_cell_length_a 10.5743
_cell_length_b 10.5743
_cell_length_c 4.5522
_cell_angle_alpha 90.00
_cell_angle_beta 90.00
_cell_angle_gamma 90.00
_space_group_name_H-M_alt 'P 4/m b m'
_space_group_IT_number 127
_space_group_name_Hall '-P 4 2ab'
loop_
_atom_site_label
_atom_site_fract_x
_atom_site_fract_y
_atom_site_fract_z
Li1 0.1161 0.3839 0.0000
La1 0.1780 0.6780 0.0000
Sm1 0.0000 0.0000 0.0000
In1 0.0000 0.5000 0.5000
In2 0.0673 0.2147 0.5000
```

DOS at the Fermi energy (states/eV/cell): 11.862
M_tot (μB/f.u.): 0.000
Calculated formation energy (meV/atom): -451